1.
## Cr3WI (PBE-GGA)

Data for a relaxed Cr3WI crystal.

Structure (POSCAR):
```
Cr3WI
1.0
-1.714 -2.076 4.056
-0.903 -4.093 -2.476
4.466 -1.624 1.056
I Cr W
1 3 1
Cartesian
0.925 -3.897 1.318
-0.452 -2.047 -1.238
2.233 -0.812 0.528
-0.857 -1.038 2.028
0.000 0.000 0.000
```

Properties
For the final energy, the calculation gives -35.89 eV per cell. The space-group type is No. 221. The uncorrected formation energy comes out at 1.50 eV per atom. The calculation puts the calculated density at 6.72 g cm⁻³. The energy relative to the lowest polymorph listed for this composition is 0.00 kJ/mol of atoms. As for the density of states at the Fermi level: 3.82 states/eV/f.u. The calculation puts the total magnetization at 1.885 μB per atom.

2.
## CrW2I (PBE-GGA)

Data for a relaxed CrW2I crystal.

Structure (POSCAR):
```
CrW2I
1.0
0.000 3.211 3.211
3.211 0.000 3.211
3.211 3.211 0.000
I Cr W
1 1 2
Cartesian
3.211 3.211 3.211
0.000 0.000 0.000
1.605 1.605 1.605
4.816 4.816 4.816
```

Properties
For the final energy, the calculation gives -32.31 eV per cell. The space-group type is No. 225. The uncorrected formation energy comes out at 1.19 eV per atom. The calculation puts the calculated density at 13.71 g cm⁻³. The energy relative to the lowest polymorph listed for this composition is 0.00 kJ/mol of atoms. As for the density of states at the Fermi level: 2.57 states/eV/f.u. The calculation puts the total magnetization at 0.389 μB per atom.

3.
## YCr2I (PBE-GGA)

Data for a relaxed YCr2I crystal.

Structure (POSCAR):
```
YCr2I
1.0
3.362 -2.651 2.688
-0.446 -5.023 0.357
3.314 -3.005 -2.354
I Y Cr
1 1 2
Cartesian
3.115 -5.340 0.345
0.000 0.000 0.000
1.558 -2.670 0.173
4.673 -8.010 0.518
```

Properties
For the final energy, the calculation gives -23.85 eV per cell. The space-group type is No. 225. The uncorrected formation energy comes out at 0.85 eV per atom. The calculation puts the calculated density at 5.81 g cm⁻³. The energy relative to the lowest polymorph listed for this composition is 15.23 kJ/mol of atoms. As for the density of states at the Fermi level: 4.95 states/eV/f.u. The calculation puts the total magnetization at 1.983 μB per atom.